Version a
DFT (PBE) results for a relaxed HgS3O crystal.

Output
total moment: 0.00 μB per formula unit
space-group type: Pm-3m, No. 221
N(E_F): 1.75 states/eV/f.u.

Unit cell a=4.3720 b=4.3720 c=4.3720 alpha=90.00 beta=90.00 gamma=90.00
Element x y z (fractional)
O1 0.0000 0.0000 0.0000
S1 0.5000 0.0000 0.0000
S2 0.0000 0.5000 0.0000
Hg1 0.5000 0.5000 0.5000
S3 0.0000 0.0000 0.5000

=====

Version b
DFT (PBE) results for a relaxed HgS3O crystal.

Output
total moment: 2.75 μB per formula unit
space-group type: Pm-3m, No. 221
N(E_F): 16.46 states/eV/f.u.

Unit cell a=5.0261 b=5.0261 c=5.0261 alpha=90.00 beta=90.00 gamma=90.00
Element x y z (fractional)
O1 0.5000 0.5000 0.5000
S1 0.5000 0.0000 0.0000
S2 0.0000 0.5000 0.0000
Hg1 0.0000 0.0000 0.0000
S3 0.0000 0.0000 0.5000

=====

Quick one: most stable of them? version a

=====

Version a
DFT (PBE) results for a relaxed HgS2O crystal.

Output
total moment: 0.00 μB per formula unit
space-group type: R-3m, No. 166
N(E_F): 1.96 states/eV/f.u.

Unit cell a=8.2284 b=8.2284 c=8.2284 alpha=24.11 beta=24.11 gamma=24.11
Element x y z (fractional)
S1 0.0674 0.0674 0.0674
Hg1 0.5000 0.5000 0.5000
O1 0.0000 0.0000 0.0000
S2 0.9326 0.9326 0.9326

=====

Version b
DFT (PBE) results for a relaxed HgS2O crystal.

Output
total moment: 0.00 μB per formula unit
space-group type: Fm-3m, No. 225
N(E_F): 3.23 states/eV/f.u.

Unit cell a=4.4698 b=4.4698 c=4.4698 alpha=60.00 beta=60.00 gamma=60.00
Element x y z (fractional)
Hg1 0.5000 0.5000 0.5000
S1 0.7500 0.7500 0.7500
O1 0.0000 0.0000 0.0000
S2 0.2500 0.2500 0.2500

=====

Version c
DFT (PBE) results for a relaxed HgS2O crystal.

Output
total moment: 0.00 μB per formula unit
space-group type: I-42d, No. 122
N(E_F): 0.58 states/eV/f.u.

Unit cell a=5.2219 b=5.2219 c=6.8210 alpha=67.49 beta=67.49 gamma=90.00
Element x y z (fractional)
O1 0.2500 0.7500 0.5000
S1 0.5013 0.1250 0.2500
Hg1 0.0000 0.0000 0.0000
S2 0.3750 0.4987 0.7500
S3 0.2487 0.6250 0.2500
S4 0.8750 0.7513 0.7500
Hg2 0.7500 0.2500 0.5000
O2 0.5000 0.5000 0.0000

=====

Version d
DFT (PBE) results for a relaxed HgS2O crystal.

Output
total moment: 0.00 μB per formula unit
space-group type: R-3m, No. 166
N(E_F): 2.90 states/eV/f.u.

Unit cell a=9.2410 b=9.2410 c=9.2410 alpha=18.13 beta=18.13 gamma=18.13
Element x y z (fractional)
S1 0.1093 0.1093 0.1093
S2 0.8907 0.8907 0.8907
O1 0.5000 0.5000 0.5000
Hg1 0.0000 0.0000 0.0000

=====

Quick one: most stable of them? version c

=====

Version a
DFT (PBE) results for a relaxed HgSO2 crystal.

Output
total moment: 0.00 μB per formula unit
space-group type: Fm-3m, No. 225
N(E_F): 3.42 states/eV/f.u.

Unit cell a=4.1623 b=4.1623 c=4.1623 alpha=60.00 beta=60.00 gamma=60.00
Element x y z (fractional)
O1 0.7500 0.7500 0.7500
Hg1 0.5000 0.5000 0.5000
S1 0.0000 0.0000 0.0000
O2 0.2500 0.2500 0.2500

=====

Version b
DFT (PBE) results for a relaxed HgSO2 crystal.

Output
total moment: 0.00 μB per formula unit
space-group type: I-42d, No. 122
N(E_F): 0.15 states/eV/f.u.

Unit cell a=4.4959 b=4.4959 c=6.8787 alpha=70.93 beta=70.93 gamma=90.00
Element x y z (fractional)
S1 0.2500 0.7500 0.5000
O1 0.8750 0.8089 0.7500
O2 0.3750 0.4411 0.7500
Hg1 0.0000 0.0000 0.0000
Hg2 0.7500 0.2500 0.5000
O3 0.5589 0.1250 0.2500
S2 0.5000 0.5000 0.0000
O4 0.1911 0.6250 0.2500

=====

Version c
DFT (PBE) results for a relaxed HgSO2 crystal.

Output
total moment: 0.00 μB per formula unit
space-group type: R-3m, No. 166
N(E_F): 0.00 states/eV/f.u.

Unit cell a=7.6670 b=7.6670 c=7.6670 alpha=22.77 beta=22.77 gamma=22.77
Element x y z (fractional)
O1 0.0687 0.0687 0.0687
Hg1 0.5000 0.5000 0.5000
O2 0.9313 0.9313 0.9313
S1 0.0000 0.0000 0.0000

=====

Quick one: most stable of them? version c

=====

Version a
DFT (PBE) results for a relaxed Hg2SbO crystal.

Output
total moment: 0.00 μB per formula unit
space-group type: I-42d, No. 122
N(E_F): 2.42 states/eV/f.u.

Unit cell a=6.0314 b=6.0314 c=7.0995 alpha=64.86 beta=64.86 gamma=90.00
Element x y z (fractional)
Sb1 0.0000 0.0000 0.0000
Sb2 0.7500 0.2500 0.5000
Hg1 0.1965 0.6250 0.2500
Hg2 0.8750 0.8035 0.7500
Hg3 0.5535 0.1250 0.2500
Hg4 0.3750 0.4465 0.7500
O1 0.5000 0.5000 0.0000
O2 0.2500 0.7500 0.5000

=====

Version b
DFT (PBE) results for a relaxed Hg2SbO crystal.

Output
total moment: 0.00 μB per formula unit
space-group type: Fm-3m, No. 225
N(E_F): 6.38 states/eV/f.u.

Unit cell a=4.8964 b=4.8964 c=4.8964 alpha=60.00 beta=60.00 gamma=60.00
Element x y z (fractional)
Sb1 0.5000 0.5000 0.5000
O1 0.0000 0.0000 0.0000
Hg1 0.2500 0.2500 0.2500
Hg2 0.7500 0.7500 0.7500

=====

Quick one: most stable of them? version a